Version A
HfCoCuSi after structural relaxation. Source: the Open Quantum Materials Database, functional PBE-GGA.

a = 6.0615 Å, b = 6.0615 Å, c = 6.0615 Å
α = 90.00°, β = 90.00°, γ = 90.00°
Space group F-43m (No. 216)
Unique sites:
Hf1 0.0000 0.0000 0.0000 [4 per cell]
Co1 0.2500 0.2500 0.7500 [4 per cell]
Cu1 0.0000 0.0000 0.5000 [4 per cell]
Si1 0.2500 0.2500 0.2500 [4 per cell]

***

Version B
HfCoCuSi after structural relaxation. Source: the Open Quantum Materials Database, functional PBE-GGA.

a = 6.0018 Å, b = 6.0018 Å, c = 6.0018 Å
α = 90.00°, β = 90.00°, γ = 90.00°
Space group F-43m (No. 216)
Unique sites:
Hf1 0.0000 0.0000 0.0000 [4 per cell]
Co1 0.2500 0.2500 0.2500 [4 per cell]
Cu1 0.2500 0.2500 0.7500 [4 per cell]
Si1 0.0000 0.0000 0.5000 [4 per cell]

***

Version C
HfCoCuSi after structural relaxation. Source: the Open Quantum Materials Database, functional PBE-GGA.

a = 6.0457 Å, b = 6.0457 Å, c = 6.0457 Å
α = 90.00°, β = 90.00°, γ = 90.00°
Space group F-43m (No. 216)
Unique sites:
Hf1 0.0000 0.0000 0.0000 [4 per cell]
Co1 0.0000 0.0000 0.5000 [4 per cell]
Cu1 0.2500 0.2500 0.7500 [4 per cell]
Si1 0.2500 0.2500 0.2500 [4 per cell]

***

Pick version B: it beats the second-best structure by 170 meV per atom.

***

Version A
CoCuHgMo after structural relaxation. Source: the Open Quantum Materials Database, functional PBE-GGA.

a = 6.1761 Å, b = 6.1761 Å, c = 6.1761 Å
α = 90.00°, β = 90.00°, γ = 90.00°
Space group F-43m (No. 216)
Unique sites:
Co1 0.0000 0.0000 0.0000 [4 per cell]
Cu1 0.2500 0.2500 0.7500 [4 per cell]
Hg1 0.2500 0.2500 0.2500 [4 per cell]
Mo1 0.0000 0.0000 0.5000 [4 per cell]

***

Version B
CoCuHgMo after structural relaxation. Source: the Open Quantum Materials Database, functional PBE-GGA.

a = 6.1283 Å, b = 6.1283 Å, c = 6.1283 Å
α = 90.00°, β = 90.00°, γ = 90.00°
Space group F-43m (No. 216)
Unique sites:
Co1 0.0000 0.0000 0.0000 [4 per cell]
Cu1 0.0000 0.0000 0.5000 [4 per cell]
Hg1 0.2500 0.2500 0.7500 [4 per cell]
Mo1 0.2500 0.2500 0.2500 [4 per cell]

***

Pick version B: it beats the second-best structure by 251 meV per atom.

***

Version A
ScInCoCu after structural relaxation. Source: the Open Quantum Materials Database, functional PBE-GGA.

a = 6.3116 Å, b = 6.3116 Å, c = 6.3116 Å
α = 90.00°, β = 90.00°, γ = 90.00°
Space group F-43m (No. 216)
Unique sites:
Sc1 0.0000 0.0000 0.0000 [4 per cell]
In1 0.0000 0.0000 0.5000 [4 per cell]
Co1 0.2500 0.2500 0.2500 [4 per cell]
Cu1 0.2500 0.2500 0.7500 [4 per cell]

***

Version B
ScInCoCu after structural relaxation. Source: the Open Quantum Materials Database, functional PBE-GGA.

a = 6.3706 Å, b = 6.3706 Å, c = 6.3706 Å
α = 90.00°, β = 90.00°, γ = 90.00°
Space group F-43m (No. 216)
Unique sites:
Sc1 0.0000 0.0000 0.0000 [4 per cell]
In1 0.2500 0.2500 0.2500 [4 per cell]
Co1 0.2500 0.2500 0.7500 [4 per cell]
Cu1 0.0000 0.0000 0.5000 [4 per cell]

***

Version C
ScInCoCu after structural relaxation. Source: the Open Quantum Materials Database, functional PBE-GGA.

a = 6.3457 Å, b = 6.3457 Å, c = 6.3457 Å
α = 90.00°, β = 90.00°, γ = 90.00°
Space group F-43m (No. 216)
Unique sites:
Sc1 0.0000 0.0000 0.0000 [4 per cell]
In1 0.2500 0.2500 0.2500 [4 per cell]
Co1 0.0000 0.0000 0.5000 [4 per cell]
Cu1 0.2500 0.2500 0.7500 [4 per cell]

***

Pick version A: it beats the second-best structure by 203 meV per atom.

***

Version A
InCoCuW after structural relaxation. Source: the Open Quantum Materials Database, functional PBE-GGA.

a = 6.1376 Å, b = 6.1376 Å, c = 6.1376 Å
α = 90.00°, β = 90.00°, γ = 90.00°
Space group F-43m (No. 216)
Unique sites:
In1 0.0000 0.0000 0.0000 [4 per cell]
Co1 0.2500 0.2500 0.2500 [4 per cell]
Cu1 0.2500 0.2500 0.7500 [4 per cell]
W1 0.0000 0.0000 0.5000 [4 per cell]

***

Version B
InCoCuW after structural relaxation. Source: the Open Quantum Materials Database, functional PBE-GGA.

a = 6.2133 Å, b = 6.2133 Å, c = 6.2133 Å
α = 90.00°, β = 90.00°, γ = 90.00°
Space group F-43m (No. 216)
Unique sites:
In1 0.0000 0.0000 0.0000 [4 per cell]
Co1 0.0000 0.0000 0.5000 [4 per cell]
Cu1 0.2500 0.2500 0.2500 [4 per cell]
W1 0.2500 0.2500 0.7500 [4 per cell]

***

Pick version A: it beats the second-best structure by 195 meV per atom.

***

Version A
YInCoCu after structural relaxation. Source: the Open Quantum Materials Database, functional PBE-GGA.

a = 6.5706 Å, b = 6.5706 Å, c = 6.5706 Å
α = 90.00°, β = 90.00°, γ = 90.00°
Space group F-43m (No. 216)
Unique sites:
Y1 0.0000 0.0000 0.0000 [4 per cell]
In1 0.0000 0.0000 0.5000 [4 per cell]
Co1 0.2500 0.2500 0.7500 [4 per cell]
Cu1 0.2500 0.2500 0.2500 [4 per cell]

***

Version B
YInCoCu after structural relaxation. Source: the Open Quantum Materials Database, functional PBE-GGA.

a = 6.5836 Å, b = 6.5836 Å, c = 6.5836 Å
α = 90.00°, β = 90.00°, γ = 90.00°
Space group F-43m (No. 216)
Unique sites:
Y1 0.0000 0.0000 0.0000 [4 per cell]
In1 0.2500 0.2500 0.2500 [4 per cell]
Co1 0.2500 0.2500 0.7500 [4 per cell]
Cu1 0.0000 0.0000 0.5000 [4 per cell]

***

Pick version A: it beats the second-best structure by 282 meV per atom.

***

Version A
KCoCuTc after structural relaxation. Source: the Open Quantum Materials Database, functional PBE-GGA.

a = 6.4168 Å, b = 6.4168 Å, c = 6.4168 Å
α = 90.00°, β = 90.00°, γ = 90.00°
Space group F-43m (No. 216)
Unique sites:
K1 0.0000 0.0000 0.0000 [4 per cell]
Co1 0.2500 0.2500 0.2500 [4 per cell]
Cu1 0.0000 0.0000 0.5000 [4 per cell]
Tc1 0.2500 0.2500 0.7500 [4 per cell]

***

Version B
KCoCuTc after structural relaxation. Source: the Open Quantum Materials Database, functional PBE-GGA.

a = 6.2320 Å, b = 6.2320 Å, c = 6.2320 Å
α = 90.00°, β = 90.00°, γ = 90.00°
Space group F-43m (No. 216)
Unique sites:
K1 0.0000 0.0000 0.0000 [4 per cell]
Co1 0.0000 0.0000 0.5000 [4 per cell]
Cu1 0.2500 0.2500 0.2500 [4 per cell]
Tc1 0.2500 0.2500 0.7500 [4 per cell]

***

Pick version B: it beats the second-best structure by 159 meV per atom.